{"formula": "Sr2HoCoO5", "functional": "PBE+U", "state": "optimized geometry", "lattice": [[1.731, -6.684, 0.000], [1.731, 6.684, 0.000], [0.000, 0.000, 11.131]], "species": ["Sr", "Sr", "Sr", "Sr", "Ho", "Ho", "Co", "Co", "O", "O", "O", "O", "O", "O", "O", "O", "O", "O"], "frac_coords": [[0.096, 0.904, 0.500], [0.147, 0.853, 0.125], [0.853, 0.147, 0.625], [0.904, 0.096, 0.000], [0.206, 0.794, 0.837], [0.794, 0.206, 0.337], [0.481, 0.519, 0.262], [0.519, 0.481, 0.762], [0.040, 0.960, 0.845], [0.279, 0.721, 0.471], [0.332, 0.668, 0.210], [0.375, 0.625, 0.805], [0.487, 0.513, 0.600], [0.513, 0.487, 0.100], [0.625, 0.375, 0.305], [0.668, 0.332, 0.710], [0.721, 0.279, 0.971], [0.960, 0.040, 0.345]], "m_tot_mub_per_fu": 1.9, "energy_ev_per_atom": -6.654, "space_group": "Cmc2_1, No. 36"}